{"formula": "Ba3Cr2O8", "functional": "PBEsol", "state": "relaxed", "dos_at_fermi_per_ev_cell": 18.45, "formation_energy_uncorrected_mev_per_atom": -2495, "magmom_total_mub_per_cell": 4.0, "lattice": [[5.707, -0.001, 0.002], [-2.853, 4.943, -0.006], [-0.006, -3.282, 14.244]], "species": ["Ba", "Ba", "Ba", "Ba", "Ba", "Ba", "Cr", "Cr", "Cr", "Cr", "O", "O", "O", "O", "O", "O", "O", "O", "O", "O", "O", "O", "O", "O", "O", "O"], "fractional_positions": [[0.997, 0.004, 0.000], [0.506, 0.000, 0.500], [0.397, 0.794, 0.191], [0.897, 0.794, 0.691], [0.103, 0.206, 0.309], [0.603, 0.206, 0.809], [0.796, 0.593, 0.389], [0.704, 0.407, 0.111], [0.297, 0.593, 0.889], [0.203, 0.407, 0.611], [0.340, 0.667, 0.007], [0.828, 0.672, 0.507], [0.156, 0.329, 0.493], [0.669, 0.324, 0.993], [0.379, 0.272, 0.651], [0.880, 0.274, 0.154], [0.895, 0.274, 0.653], [0.394, 0.273, 0.152], [0.379, 0.759, 0.652], [0.879, 0.759, 0.152], [0.606, 0.727, 0.847], [0.107, 0.728, 0.349], [0.121, 0.728, 0.849], [0.621, 0.726, 0.346], [0.121, 0.242, 0.847], [0.621, 0.242, 0.348]]}

{"formula": "MgNbRu2Se", "functional": "PBEsol", "state": "relaxed", "dos_at_fermi_per_ev_cell": 4.49, "formation_energy_uncorrected_mev_per_atom": 1432, "magmom_total_mub_per_cell": 1.3, "lattice": [[4.613, 0.000, 0.000], [0.000, 4.613, 0.000], [0.000, 0.000, 5.242]], "species": ["Ru", "Ru", "Nb", "Mg", "Se"], "fractional_positions": [[0.000, 0.500, 0.000], [0.500, 0.000, 0.000], [0.000, 0.000, 0.000], [0.000, 0.000, 0.500], [0.500, 0.500, 0.500]]}

{"formula": "Ni3OF5", "functional": "PBEsol", "state": "relaxed", "dos_at_fermi_per_ev_cell": 2.65, "polymorph_energy_ev_per_atom": 0.0044, "formation_energy_uncorrected_mev_per_atom": -1426, "magmom_total_mub_per_cell": 13.9, "lattice": [[4.508, 0.000, 0.000], [0.000, 5.521, 0.000], [0.000, -0.511, 7.612]], "species": ["Ni", "Ni", "Ni", "Ni", "Ni", "Ni", "O", "O", "F", "F", "F", "F", "F", "F", "F", "F", "F", "F"], "fractional_positions": [[0.981, 0.749, 0.015], [0.023, 0.405, 0.670], [0.983, 0.071, 0.328], [0.483, 0.929, 0.672], [0.523, 0.595, 0.330], [0.481, 0.251, 0.985], [0.293, 0.205, 0.770], [0.793, 0.795, 0.230], [0.283, 0.869, 0.442], [0.285, 0.535, 0.108], [0.213, 0.703, 0.782], [0.228, 0.030, 0.110], [0.212, 0.372, 0.432], [0.783, 0.131, 0.558], [0.785, 0.465, 0.892], [0.713, 0.297, 0.218], [0.712, 0.628, 0.568], [0.728, 0.970, 0.890]]}

{"formula": "La3Y", "functional": "PBEsol", "state": "relaxed", "dos_at_fermi_per_ev_cell": 5.52, "e_form_mev_per_atom": 9, "magmom_total_mub_per_cell": 0.0, "lattice": [[5.099, 0.000, 0.000], [0.000, 5.099, 0.000], [0.000, 0.000, 5.099]], "species": ["Y", "La", "La", "La"], "fractional_positions": [[0.500, 0.500, 0.500], [0.000, 0.000, 0.500], [0.000, 0.500, 0.000], [0.500, 0.000, 0.000]]}